Here is a geometry-optimized SrCoCl structure from the Alexandria database. Energies are from PBE-GGA.

## Properties
As for the symmetry: P-6m2, No. 187. Its formation energy from raw total energies is -237 meV/atom. As for the raw total energy: -3.7819 eV per atom.

```
data_SrCoCl
_symmetry_space_group_name_H-M 'P 1'
_symmetry_Int_Tables_number 1
_cell_length_a 4.0505
_cell_length_b 4.0505
_cell_length_c 4.1844
_cell_angle_alpha 90.00
_cell_angle_beta 90.00
_cell_angle_gamma 120.00
loop_
_symmetry_equiv_pos_as_xyz
'x,y,z'
loop_
_atom_site_label
_atom_site_fract_x
_atom_site_fract_y
_atom_site_fract_z
Sr1 0.3333 0.6667 0.6669
Co1 0.6667 0.3333 0.1663
Cl1 0.0000 0.0000 0.1669
```